Entry 1:
# Ni4PtRh10 (PBE, optimized geometry)
data_Ni4PtRh10
_cell_length_a 7.0799
_cell_length_b 7.0799
_cell_length_c 7.0799
_cell_angle_alpha 98.63
_cell_angle_beta 98.63
_cell_angle_gamma 134.43
_space_group_name_H-M_alt 'P 1'
_space_group_IT_number 1
loop_
_space_group_symop_operation_xyz
'x,y,z'
loop_
_atom_site_label
_atom_site_type_symbol
_atom_site_fract_x
_atom_site_fract_y
_atom_site_fract_z
Ni1 Ni 0.0881 0.2944 0.3825
Ni2 Ni 0.2944 0.9119 0.2064
Ni3 Ni 0.7056 0.0881 0.7936
Ni4 Ni 0.9119 0.7056 0.6175
Pt1 Pt 0.5000 0.5000 0.0000
Rh1 Rh 0.0396 0.1415 0.6770
Rh2 Rh 0.1415 0.4645 0.1019
Rh3 Rh 0.2500 0.7500 0.5000
Rh4 Rh 0.3626 0.0396 0.8981
Rh5 Rh 0.4645 0.3626 0.3230
Rh6 Rh 0.5355 0.6374 0.6770
Rh7 Rh 0.6374 0.9604 0.1019
Rh8 Rh 0.7500 0.2500 0.5000
Rh9 Rh 0.8585 0.5355 0.8981
Rh10 Rh 0.9604 0.8585 0.3230
# symmetry = I4/m
# ΔE_f = 0.481 eV/atom


Entry 2:
# Ac2PrHo (PBE, optimized geometry)
data_Ac2PrHo
_cell_length_a 5.4270
_cell_length_b 5.4270
_cell_length_c 5.2606
_cell_angle_alpha 90.00
_cell_angle_beta 90.00
_cell_angle_gamma 90.00
_space_group_name_H-M_alt 'P 1'
_space_group_IT_number 1
loop_
_space_group_symop_operation_xyz
'x,y,z'
loop_
_atom_site_label
_atom_site_type_symbol
_atom_site_fract_x
_atom_site_fract_y
_atom_site_fract_z
Ac1 Ac 0.0000 0.5000 0.0000
Ac2 Ac 0.5000 0.0000 0.0000
Pr1 Pr 0.0000 0.0000 0.5000
Ho1 Ho 0.5000 0.5000 0.5000
# symmetry = P4/mmm
# energy relative to the lowest polymorph listed for this composition = 0.000 eV per atom
# ΔE_f = 0.035 eV/atom


Entry 3:
# KRuN2 (PBE, optimized geometry)
data_KRuN2
_cell_length_a 7.8348
_cell_length_b 7.8348
_cell_length_c 7.8348
_cell_angle_alpha 23.58
_cell_angle_beta 23.58
_cell_angle_gamma 23.58
_space_group_name_H-M_alt 'P 1'
_space_group_IT_number 1
loop_
_space_group_symop_operation_xyz
'x,y,z'
loop_
_atom_site_label
_atom_site_type_symbol
_atom_site_fract_x
_atom_site_fract_y
_atom_site_fract_z
K1 K 0.0000 0.0000 0.0000
Ru1 Ru 0.5000 0.5000 0.5000
N1 N 0.4215 0.4215 0.4215
N2 N 0.5785 0.5785 0.5785
# E_form (uncorrected) = 108.8 kJ/mol of atoms
# symmetry = R-3m
# energy relative to the lowest polymorph listed for this composition = 1.013 eV per atom


Record-wise density values, in Mg/m³: 10.37 8.14 4.13
Record-wise calculated total energy values, in eV/atom: -6.36 -4.36 -5.63